# 1
First-principles (PBE) data for a relaxed structure of Be2FeAu, as listed in the Alexandria database.

The calculation puts the magnetic moment at 2.0 μB per formula unit. The value obtained for the electronic total energy is -4.84 eV/atom. The formation enthalpy at 0 K comes out at -0.04 eV per atom.

It has space group Amm2 (No. 38), with a = 3.7018 Å, b = 2.7908 Å, c = 8.7490 Å, α = 90.00°, β = 90.00° and γ = 90.00°. The inequivalent atoms are Be at (0.0000, 0.0000, 0.0000), Be at (0.5000, 0.0000, 0.1483), Fe at (0.0000, 0.0000, 0.7171) and Au at (0.5000, 0.0000, 0.4155).

***

# 2
First-principles (PBE) data for a relaxed structure of Cr2InSb, as listed in the Alexandria database.

The calculation puts the formation energy without anion corrections at 453 meV/atom. The calculation puts the magnetic moment at 5.8 μB per formula unit. The value obtained for the energy above the most stable polymorph in this dataset is 226 meV/atom. The value obtained for the electronic total energy is -6.07 eV/atom.

It has space group Immm (No. 71), with a = 4.2009 Å, b = 4.5299 Å, c = 7.7186 Å, α = 90.00°, β = 90.00° and γ = 90.00°. The inequivalent atoms are Cr at (0.0000, 0.0000, 0.2432), In at (0.0000, 0.5000, 0.0000) and Sb at (0.0000, 0.5000, 0.5000).

***

Please write out number 2 again, unchanged.
First-principles (PBE) data for a relaxed structure of Cr2InSb, as listed in the Alexandria database.

The calculation puts the formation energy without anion corrections at 453 meV/atom. The calculation puts the magnetic moment at 5.8 μB per formula unit. The value obtained for the energy above the most stable polymorph in this dataset is 226 meV/atom. The value obtained for the electronic total energy is -6.07 eV/atom.

It has space group Immm (No. 71), with a = 4.2009 Å, b = 4.5299 Å, c = 7.7186 Å, α = 90.00°, β = 90.00° and γ = 90.00°. The inequivalent atoms are Cr at (0.0000, 0.0000, 0.2432), In at (0.0000, 0.5000, 0.0000) and Sb at (0.0000, 0.5000, 0.5000).

***

Q: Among the records above, which one has the lowest electronic total energy?
A: Cr2InSb

***

Please write out number 2 again, unchanged.
First-principles (PBE) data for a relaxed structure of Cr2InSb, as listed in the Alexandria database.

The calculation puts the formation energy without anion corrections at 453 meV/atom. The calculation puts the magnetic moment at 5.8 μB per formula unit. The value obtained for the energy above the most stable polymorph in this dataset is 226 meV/atom. The value obtained for the electronic total energy is -6.07 eV/atom.

It has space group Immm (No. 71), with a = 4.2009 Å, b = 4.5299 Å, c = 7.7186 Å, α = 90.00°, β = 90.00° and γ = 90.00°. The inequivalent atoms are Cr at (0.0000, 0.0000, 0.2432), In at (0.0000, 0.5000, 0.0000) and Sb at (0.0000, 0.5000, 0.5000).